Record 1
Computed, not measured: a relaxed structure of In2IrCl at the GGA-PBE level of DFT.

It has space group P2/m (No. 10), with a = 3.169 Å, b = 3.371 Å, c = 7.862 Å, α = 90.00°, β = 90.07° and γ = 90.00°. The distinct sites, in fractional coordinates, are In at (0.001, 0.000, 0.207), Ir at (0.500, 0.500, 0.000) and Cl at (0.000, 0.500, 0.500).

The calculation puts the calculated volume at 21.0 Å³ per atom. Its uncorrected formation energy is -246 meV per atom.

Record 2
Computed, not measured: a relaxed structure of InIrCl2 at the GGA-PBE level of DFT.

It has space group I-42d (No. 122), with a = 5.640 Å, b = 5.640 Å, c = 14.267 Å, α = 90.00°, β = 90.00° and γ = 90.00°. The distinct sites, in fractional coordinates, are In at (0.000, 0.000, 0.000), Ir at (0.000, 0.000, 0.500) and Cl at (0.127, 0.250, 0.625).

The calculation puts the calculated volume at 28.4 Å³ per atom. Its uncorrected formation energy is 289 meV per atom.

Record 3
Computed, not measured: a relaxed structure of In2IrCl at the GGA-PBE level of DFT.

It has space group C2/m (No. 12), with a = 4.694 Å, b = 4.690 Å, c = 8.213 Å, α = 90.00°, β = 90.11° and γ = 90.00°. The distinct sites, in fractional coordinates, are In at (0.001, 0.000, 0.190), Ir at (0.000, 0.500, 0.000) and Cl at (0.000, 0.000, 0.500).

The calculation puts the calculated volume at 22.6 Å³ per atom. Its uncorrected formation energy is -280 meV per atom.

Record 4
Computed, not measured: a relaxed structure of InIrCl2 at the GGA-PBE level of DFT.

It has space group Cmm2 (No. 35), with a = 3.339 Å, b = 6.470 Å, c = 9.205 Å, α = 90.00°, β = 90.00° and γ = 90.00°. The distinct sites, in fractional coordinates, are In at (0.000, 0.000, 0.000), Ir at (0.000, 0.500, 0.223), Cl at (0.000, 0.000, 0.402) and Cl at (0.000, 0.500, 0.787).

The calculation puts the calculated volume at 24.9 Å³ per atom. Its uncorrected formation energy is 3 meV per atom.

Record 5
Computed, not measured: a relaxed structure of In2IrCl at the GGA-PBE level of DFT.

It has space group Immm (No. 71), with a = 3.374 Å, b = 6.320 Å, c = 8.607 Å, α = 90.00°, β = 90.00° and γ = 90.00°. The distinct sites, in fractional coordinates, are In at (0.000, 0.000, 0.239), Ir at (0.000, 0.500, 0.500) and Cl at (0.000, 0.500, 0.000).

The calculation puts the calculated volume at 22.9 Å³ per atom. Its uncorrected formation energy is 261 meV per atom.

Record 6
Computed, not measured: a relaxed structure of In2IrCl at the GGA-PBE level of DFT.

It has space group R-3m (No. 166, hexagonal axes), with a = 3.5274 Å, b = 3.5274 Å, c = 24.1970 Å, α = 90.00°, β = 90.00° and γ = 120.00°. The distinct sites, in fractional coordinates, are In at (0.0000, 0.0000, 0.2403), Ir at (0.0000, 0.0000, 0.5000) and Cl at (0.0000, 0.0000, 0.0000).

The calculation puts the calculated volume at 21.7 Å³ per atom. Its uncorrected formation energy is -151 meV per atom.

Number 1: energy above the most stable polymorph in this dataset 34 meV/atom. Number 2: energy above the most stable polymorph in this dataset 584 meV/atom. Number 3: energy above the most stable polymorph in this dataset 0 meV/atom. Number 4: energy above the most stable polymorph in this dataset 299 meV/atom. Number 5: energy above the most stable polymorph in this dataset 541 meV/atom. Number 6: energy above the most stable polymorph in this dataset 128 meV/atom.